Arrangement w

4
Lattice="3.0999 0.0000 0.0000 0.0000 3.1030 0.0000 0.0000 0.0000 5.7323" Properties=species:S:1:pos:R:3 comment="CoMo2Os (GGA-PBEsol, optimized geometry)" volume_a3_per_atom=13.78 dos_ef_per_ev_fu=2.945 magmom_total_mub_per_fu=0.00 pbc="T T T"
Mo 0.0000 0.0000 5.5004
Mo 1.5499 1.5515 1.4643
Os 0.0000 0.0000 2.9140
Co 1.5499 1.5515 4.4520

***

Arrangement x

4
Lattice="4.2928 0.0000 0.0000 2.1464 3.7177 0.0000 2.1464 1.2392 3.5050" Properties=species:S:1:pos:R:3 comment="CoMo2Os (GGA-PBEsol, optimized geometry)" volume_a3_per_atom=13.98 dos_ef_per_ev_fu=6.106 magmom_total_mub_per_fu=1.96 pbc="T T T"
Co 0.0000 0.0000 0.0000
Os 4.2928 2.4784 1.7525
Mo 6.4392 3.7177 2.6288
Mo 2.1464 1.2392 0.8763

***

Arrangement y

4
Lattice="2.6618 0.0000 0.0000 0.0000 2.6618 0.0000 0.0000 0.0000 7.7299" Properties=species:S:1:pos:R:3 comment="CoMo2Os (GGA-PBEsol, optimized geometry)" volume_a3_per_atom=13.69 dos_ef_per_ev_fu=4.715 magmom_total_mub_per_fu=0.03 pbc="T T T"
Mo 0.0000 0.0000 7.5384
Mo 1.3309 1.3309 2.0313
Os 0.0000 0.0000 4.0152
Co 1.3309 1.3309 5.7399

***

Which is most stable, and by how much? arrangement w, by 0.5 kJ/mol of atoms.

***

Arrangement w

5
Lattice="4.1802 0.0000 0.0000 0.0000 4.1802 0.0000 0.0000 0.0000 4.4035" Properties=species:S:1:pos:R:3 comment="CoMoP2S (GGA-PBEsol, optimized geometry)" volume_a3_per_atom=15.39 dos_ef_per_ev_fu=3.121 magmom_total_mub_per_fu=1.56 pbc="T T T"
Mo 2.0901 2.0901 2.2017
P 2.0901 0.0000 0.0000
P 0.0000 2.0901 0.0000
S 0.0000 0.0000 2.2017
Co 0.0000 0.0000 0.0000

***

Arrangement x

5
Lattice="-4.0329 -1.5294 -1.3198 -0.5265 -2.1436 4.0928 -2.0150 3.8134 1.7380" Properties=species:S:1:pos:R:3 comment="CoMoP2S (GGA-PBEsol, optimized geometry)" volume_a3_per_atom=19.51 dos_ef_per_ev_fu=5.527 magmom_total_mub_per_fu=2.19 pbc="T T T"
P -1.0075 1.9067 0.8690
P -0.2633 -1.0718 2.0464
S -2.0165 -0.7647 -0.6599
Mo 0.0000 0.0000 0.0000
Co -3.2872 0.0702 2.2555

***

Which is most stable, and by how much? arrangement w, by 23.1 kJ/mol of atoms.

***

Arrangement w

4
Lattice="-2.6906 1.5520 1.1698 -1.9426 -2.0861 -1.7003 -0.1161 -4.0047 5.0459" Properties=species:S:1:pos:R:3 comment="CoMoPb2 (GGA-PBEsol, optimized geometry)" volume_a3_per_atom=17.74 dos_ef_per_ev_fu=4.875 magmom_total_mub_per_fu=0.28 pbc="T T T"
Pb -0.0882 -3.0439 3.8353
Pb -0.0279 -0.9608 1.2106
Co -2.3166 -0.2671 -0.2652
Mo -2.3746 -2.2694 2.2577

***

Arrangement x

4
Lattice="-3.3045 0.1319 -0.5081 -0.6970 -2.3249 3.9289 -0.1982 3.9861 2.3236" Properties=species:S:1:pos:R:3 comment="CoMoPb2 (GGA-PBEsol, optimized geometry)" volume_a3_per_atom=17.84 dos_ef_per_ev_fu=4.234 magmom_total_mub_per_fu=0.23 pbc="T T T"
Pb -0.0991 1.9931 1.1618
Pb -0.3485 -1.1624 1.9645
Co -2.0998 0.8966 2.8722
Mo -1.6523 0.0660 -0.2541

***

Arrangement y

4
Lattice="-2.2472 -0.4681 -2.0176 2.2636 -4.8218 0.5319 -2.5836 1.1593 4.5429" Properties=species:S:1:pos:R:3 comment="CoMoPb2 (GGA-PBEsol, optimized geometry)" volume_a3_per_atom=18.98 dos_ef_per_ev_fu=4.652 magmom_total_mub_per_fu=0.83 pbc="T T T"
Pb 1.1318 -2.4109 0.2660
Pb -1.2918 0.5796 2.2714
Mo -1.2835 -2.0653 1.5286
Co -1.1236 -0.2341 -1.0088

***

Arrangement z

4
Lattice="3.9460 0.0000 0.0000 0.0000 3.9460 0.0000 -1.9730 -1.9730 4.7521" Properties=species:S:1:pos:R:3 comment="CoMoPb2 (GGA-PBEsol, optimized geometry)" volume_a3_per_atom=18.50 dos_ef_per_ev_fu=5.626 magmom_total_mub_per_fu=2.03 pbc="T T T"
Co 1.9730 1.9730 0.0000
Pb 1.9730 0.0000 2.3760
Pb 0.0000 0.0000 0.0000
Mo 0.0000 1.9730 2.3760

***

Which is most stable, and by how much? arrangement x, by 3.5 kJ/mol of atoms.

***

Arrangement w

4
Lattice="-2.9782 -1.5827 -0.3504 1.1793 -1.1304 -4.9169 2.6673 -2.2474 3.8862" Properties=species:S:1:pos:R:3 comment="CoMoPb2 (GGA-PBEsol, optimized geometry)" volume_a3_per_atom=18.47 dos_ef_per_ev_fu=5.275 magmom_total_mub_per_fu=0.11 pbc="T T T"
Co -1.4891 -0.7913 -0.1752
Mo 0.5897 -0.5652 -2.4584
Pb 0.8063 -1.6436 0.5713
Pb 0.0622 -3.3169 -1.9523

***

Arrangement x

4
Lattice="-0.7648 -3.0913 1.9903 2.5932 1.2189 2.8897 -3.3815 3.9883 1.3524" Properties=species:S:1:pos:R:3 comment="CoMoPb2 (GGA-PBEsol, optimized geometry)" volume_a3_per_atom=19.35 dos_ef_per_ev_fu=3.769 magmom_total_mub_per_fu=1.02 pbc="T T T"
Mo 0.4408 -0.6290 2.7352
Pb -3.9531 0.7716 3.2221
Pb -0.7870 1.9616 2.7444
Co -1.7810 -0.6381 1.8674

***

Which is most stable, and by how much? arrangement x, by 32.8 kJ/mol of atoms.

***

Arrangement w

4
Lattice="3.7525 0.0000 0.0000 0.0000 3.7525 0.0000 -1.8762 -1.8762 3.7947" Properties=species:S:1:pos:R:3 comment="CoMo2Rh (GGA-PBEsol, optimized geometry)" volume_a3_per_atom=13.36 dos_ef_per_ev_fu=2.223 magmom_total_mub_per_fu=0.00 pbc="T T T"
Mo 1.8762 0.0000 1.8974
Mo 0.0000 1.8762 1.8974
Rh 0.0000 0.0000 0.0000
Co 1.8762 1.8762 0.0000

***

Arrangement x

4
Lattice="2.6681 0.0000 0.0000 0.0000 4.6246 0.0047 0.0000 -1.5866 4.3439" Properties=species:S:1:pos:R:3 comment="CoMo2Rh (GGA-PBEsol, optimized geometry)" volume_a3_per_atom=13.40 dos_ef_per_ev_fu=2.369 magmom_total_mub_per_fu=0.00 pbc="T T T"
Mo 0.0000 2.3123 0.0024
Mo 0.0000 -0.7933 2.1719
Rh 1.3341 1.5190 2.1743
Co 1.3341 0.0000 0.0000

***

Arrangement y

4
Lattice="-0.8771 1.9940 -1.5427 -3.6669 -2.1348 -0.6745 -1.8903 2.0642 3.7429" Properties=species:S:1:pos:R:3 comment="CoMo2Rh (GGA-PBEsol, optimized geometry)" volume_a3_per_atom=13.40 dos_ef_per_ev_fu=3.460 magmom_total_mub_per_fu=0.00 pbc="T T T"
Rh -1.4615 2.1141 1.2542
Co -2.6466 0.3387 -0.3668
Mo -3.1679 0.3898 2.3050
Mo -0.1034 0.1129 0.2048

***

Which is most stable, and by how much? arrangement w, by 0.5 kJ/mol of atoms.

***

Arrangement w

4
Lattice="-0.9689 2.0577 -2.8553 -3.4539 -1.1252 0.3612 1.4796 2.5597 3.6761" Properties=species:S:1:pos:R:3 comment="TaCo2Mo (GGA-PBEsol, optimized geometry)" volume_a3_per_atom=13.15 dos_ef_per_ev_fu=5.031 magmom_total_mub_per_fu=0.01 pbc="T T T"
Co 0.0000 0.0000 0.0000
Co -2.0928 0.9504 1.3951
Ta -0.8503 2.5419 -0.2131
Mo -2.2114 0.4663 -1.2471

***

Arrangement x

4
Lattice="-1.9313 3.7552 -0.3480 -4.2298 0.2017 -0.1430 -2.1576 1.5850 3.2840" Properties=species:S:1:pos:R:3 comment="TaCo2Mo (GGA-PBEsol, optimized geometry)" volume_a3_per_atom=13.45 dos_ef_per_ev_fu=5.251 magmom_total_mub_per_fu=3.41 pbc="T T T"
Co -2.0797 1.3855 0.6982
Co -6.2390 4.1564 2.0947
Mo 0.0000 0.0000 0.0000
Ta -4.1593 2.7710 1.3965

***

Arrangement y

4
Lattice="-0.8804 0.0724 -2.5418 2.4761 -3.3286 -0.9525 -3.2529 -2.8552 1.5218" Properties=species:S:1:pos:R:3 comment="TaCo2Mo (GGA-PBEsol, optimized geometry)" volume_a3_per_atom=13.07 dos_ef_per_ev_fu=3.884 magmom_total_mub_per_fu=0.00 pbc="T T T"
Co -3.8738 -2.6646 -0.7584
Co -0.4926 -2.4531 -2.2186
Ta -1.6572 -3.9628 0.0297
Mo -1.8334 -1.2049 -0.5553

***

Which is most stable, and by how much? arrangement y, by 12.6 kJ/mol of atoms.

***

Arrangement w

4
Lattice="4.3618 0.0000 0.0000 2.1809 3.7774 0.0000 2.1809 1.2591 3.5614" Properties=species:S:1:pos:R:3 comment="TaCoMo2 (GGA-PBEsol, optimized geometry)" volume_a3_per_atom=14.67 dos_ef_per_ev_fu=4.065 magmom_total_mub_per_fu=1.67 pbc="T T T"
Ta 4.3618 2.5183 1.7807
Co 0.0000 0.0000 0.0000
Mo 2.1809 1.2591 0.8904
Mo 6.5427 3.7774 2.6711

***

Arrangement x

4
Lattice="2.7440 0.0000 0.0000 1.3720 2.3763 0.0000 1.3720 0.7921 9.1122" Properties=species:S:1:pos:R:3 comment="TaCoMo2 (GGA-PBEsol, optimized geometry)" volume_a3_per_atom=14.85 dos_ef_per_ev_fu=4.033 magmom_total_mub_per_fu=0.53 pbc="T T T"
Mo 4.1159 2.3763 0.2035
Mo 4.1159 2.3763 6.8835
Ta 2.7440 1.5842 4.3634
Co 1.3720 0.7921 2.2178

***

Which is most stable, and by how much? arrangement w, by 12.9 kJ/mol of atoms.

***

Arrangement w

4
Lattice="-0.2608 2.2089 -1.5803 -1.3832 -2.4633 -3.2149 -4.8257 -0.0378 2.1053" Properties=species:S:1:pos:R:3 comment="Ta2CoMo (GGA-PBEsol, optimized geometry)" volume_a3_per_atom=15.20 dos_ef_per_ev_fu=4.152 magmom_total_mub_per_fu=0.64 pbc="T T T"
Mo -3.1045 -1.2505 -0.5548
Co -0.8220 -0.1272 -2.3976
Ta -1.2595 0.5356 0.1315
Ta -3.8271 1.6356 0.3935

***

Arrangement x

4
Lattice="-3.6754 -2.0182 1.3629 0.0966 -2.5769 3.5762 -1.9853 1.3072 3.7134" Properties=species:S:1:pos:R:3 comment="Ta2CoMo (GGA-PBEsol, optimized geometry)" volume_a3_per_atom=15.15 dos_ef_per_ev_fu=2.943 magmom_total_mub_per_fu=0.92 pbc="T T T"
Ta -1.3910 -0.8220 2.1631
Ta -4.1731 -2.4660 6.4894
Mo -2.7820 -1.6440 4.3262
Co 0.0000 0.0000 0.0000

***

Which is most stable, and by how much? arrangement x, by 17.3 kJ/mol of atoms.

***

Arrangement w

4
Lattice="4.2488 0.0000 0.0000 2.1244 3.6795 0.0000 2.1244 1.2265 3.4691" Properties=species:S:1:pos:R:3 comment="CoTc2Mo (GGA-PBEsol, optimized geometry)" volume_a3_per_atom=13.56 dos_ef_per_ev_fu=5.345 magmom_total_mub_per_fu=2.10 pbc="T T T"
Tc 6.3731 3.6795 2.6018
Tc 2.1244 1.2265 0.8673
Mo 4.2488 2.4530 1.7346
Co 0.0000 0.0000 0.0000

***

Arrangement x

4
Lattice="4.2500 0.0000 0.0000 2.1250 3.6806 0.0000 2.1250 1.2269 3.4701" Properties=species:S:1:pos:R:3 comment="CoTc2Mo (GGA-PBEsol, optimized geometry)" volume_a3_per_atom=13.57 dos_ef_per_ev_fu=5.759 magmom_total_mub_per_fu=2.01 pbc="T T T"
Mo 2.1250 1.2269 0.8675
Tc 6.3751 3.6806 2.6026
Tc 0.0000 0.0000 0.0000
Co 4.2500 2.4538 1.7351

***

Arrangement y

4
Lattice="-1.8196 1.3680 2.9741 -0.3523 -3.4647 1.3781 3.2804 0.3928 1.8263" Properties=species:S:1:pos:R:3 comment="CoTc2Mo (GGA-PBEsol, optimized geometry)" volume_a3_per_atom=13.24 dos_ef_per_ev_fu=3.504 magmom_total_mub_per_fu=0.00 pbc="T T T"
Tc -0.1762 -1.7323 0.6891
Tc -0.9098 0.6840 1.4870
Co 0.5543 -0.8519 3.0892
Mo 1.6402 0.1964 0.9131

***

Arrangement z

4
Lattice="2.6768 0.0000 0.0000 0.0000 3.6670 0.0000 0.0000 0.0000 5.4694" Properties=species:S:1:pos:R:3 comment="CoTc2Mo (GGA-PBEsol, optimized geometry)" volume_a3_per_atom=13.42 dos_ef_per_ev_fu=4.685 magmom_total_mub_per_fu=0.01 pbc="T T T"
Tc 0.0000 0.0000 1.2306
Tc 0.0000 0.0000 4.2387
Mo 1.3384 1.8335 2.7347
Co 1.3384 1.8335 0.0000

***

Which is most stable, and by how much? arrangement y, by 12.2 kJ/mol of atoms.

***

Arrangement w

3
Lattice="4.1314 0.0000 0.0000 2.0657 3.5779 0.0000 2.0657 1.1926 3.3732" Properties=species:S:1:pos:R:3 comment="CoTeMo (GGA-PBEsol, optimized geometry)" volume_a3_per_atom=16.62 dos_ef_per_ev_fu=4.860 magmom_total_mub_per_fu=0.97 pbc="T T T"
Te 4.1314 2.3852 1.6866
Co 2.0657 1.1926 0.8433
Mo 0.0000 0.0000 0.0000

***

Arrangement x

6
Lattice="-3.1736 -0.8782 -1.7334 2.4494 -0.9829 -3.9867 0.5886 -5.5345 1.7262" Properties=species:S:1:pos:R:3 comment="CoTeMo (GGA-PBEsol, optimized geometry)" volume_a3_per_atom=17.28 dos_ef_per_ev_fu=3.476 magmom_total_mub_per_fu=0.00 pbc="T T T"
Co -1.1454 -4.5894 0.4278
Co 1.3719 -1.8756 -1.5616
Mo 0.2933 -2.7574 0.8600
Mo -0.0667 -3.7076 -1.9939
Te 0.0280 -0.2637 0.0822
Te 0.1985 -6.2013 -1.2161

***

Which is most stable, and by how much? arrangement x, by 0.5 kJ/mol of atoms.

***

Arrangement w

4
Lattice="3.7577 0.0000 0.0000 0.0000 3.7577 0.0000 0.0000 0.0000 4.3181" Properties=species:S:1:pos:R:3 comment="TlCoMo2 (GGA-PBEsol, optimized geometry)" volume_a3_per_atom=15.24 dos_ef_per_ev_fu=4.506 magmom_total_mub_per_fu=0.97 pbc="T T T"
Mo 1.8788 0.0000 0.0000
Mo 0.0000 1.8788 0.0000
Co 0.0000 0.0000 2.1591
Tl 1.8788 1.8788 2.1591

***

Arrangement x

4
Lattice="-2.2632 1.6288 0.2399 0.1504 -1.2209 2.5138 4.6870 6.1163 2.6903" Properties=species:S:1:pos:R:3 comment="TlCoMo2 (GGA-PBEsol, optimized geometry)" volume_a3_per_atom=15.59 dos_ef_per_ev_fu=3.216 magmom_total_mub_per_fu=0.00 pbc="T T T"
Mo 2.5540 4.9153 3.4492
Mo 0.1159 0.1512 0.0665
Co 0.0068 1.5913 1.9871
Tl 2.2411 2.9245 1.2863

***

Which is most stable, and by how much? arrangement x, by 5.1 kJ/mol of atoms.

***

Arrangement w

4
Lattice="2.7995 0.0000 0.0000 0.0000 2.7995 0.0000 0.0000 0.0000 7.1443" Properties=species:S:1:pos:R:3 comment="TlCo2Mo (GGA-PBEsol, optimized geometry)" volume_a3_per_atom=14.00 dos_ef_per_ev_fu=3.607 magmom_total_mub_per_fu=0.00 pbc="T T T"
Mo 1.3998 1.3998 0.0000
Co 0.0000 0.0000 5.5242
Co 0.0000 0.0000 1.6201
Tl 1.3998 1.3998 3.5722

***

Arrangement x

4
Lattice="-2.0730 -0.4311 -2.9979 2.9193 -1.2522 -1.8385 -1.3281 -2.9972 3.5960" Properties=species:S:1:pos:R:3 comment="TlCo2Mo (GGA-PBEsol, optimized geometry)" volume_a3_per_atom=13.86 dos_ef_per_ev_fu=4.427 magmom_total_mub_per_fu=0.00 pbc="T T T"
Co 0.0000 0.0000 0.0000
Co -1.4889 -2.1350 -0.9100
Mo 0.4231 -0.8417 -2.4182
Tl 1.0072 -2.5456 -0.3303

***

Which is most stable, and by how much? arrangement w, by 19.1 kJ/mol of atoms.